Record 1
! Rb2WCl2F4, relaxed, DFT PBE+U; values from VASP
! uncorrected energy = -4.693 eV per atom
! SG = C2/m
&SYSTEM
  ibrav = 0, nat = 9, ntyp = 4
/
ATOMIC_SPECIES
Rb 85.47 Rb.upf
F 19.00 F.upf
Cl 35.45 Cl.upf
W 183.84 W.upf
ATOMIC_POSITIONS angstrom
Rb -2.723 -5.558 0.018
Rb -0.004 -6.637 4.501
F -3.460 -6.503 2.780
F -1.840 -4.426 3.604
F 0.733 -5.692 1.739
F -0.887 -7.769 0.915
Cl -1.040 -2.585 0.320
Cl -1.687 -9.610 4.199
W -1.761 -1.200 -1.615
CELL_PARAMETERS angstrom
-3.522 -2.400 -3.229
2.771 -6.066 2.154
-1.976 -3.729 5.594

---

Record 2
! Rb2WCl4F2, relaxed, DFT PBE+U; values from VASP
! uncorrected energy = -4.225 eV per atom
! SG = C2/m
&SYSTEM
  ibrav = 0, nat = 9, ntyp = 4
/
ATOMIC_SPECIES
Cl 35.45 Cl.upf
W 183.84 W.upf
F 19.00 F.upf
Rb 85.47 Rb.upf
ATOMIC_POSITIONS angstrom
Cl 2.846 4.853 1.021
Cl 5.559 4.471 5.323
Cl 5.559 6.593 2.205
Cl 2.846 2.732 4.139
W 2.927 -0.012 -0.008
F 6.680 8.023 5.458
F 1.725 1.302 0.886
Rb 5.623 3.053 2.077
Rb 2.783 6.271 4.267
CELL_PARAMETERS angstrom
5.854 -0.024 -0.017
1.276 6.721 0.173
1.276 2.628 6.188

---

Record 3
! Rb3WCl2F6, relaxed, DFT PBE+U; values from VASP
! uncorrected energy = -4.591 eV per atom
! SG = C2/m
&SYSTEM
  ibrav = 0, nat = 12, ntyp = 4
/
ATOMIC_SPECIES
Rb 85.47 Rb.upf
Cl 35.45 Cl.upf
F 19.00 F.upf
W 183.84 W.upf
ATOMIC_POSITIONS angstrom
Rb 2.260 3.226 4.021
Rb -0.565 -1.629 3.652
Rb 2.825 4.855 0.370
Cl 2.710 6.361 3.256
Cl 1.810 0.092 4.786
F 3.557 5.117 7.298
F 0.963 1.336 0.745
F -1.132 0.505 7.401
F 5.653 5.948 0.642
F 4.923 3.844 5.360
F -0.403 2.609 2.682
W -0.771 2.096 0.816
CELL_PARAMETERS angstrom
-1.543 4.191 1.631
-1.129 -3.258 7.303
7.192 5.519 -0.892

---

Record 4
! Rb2WCl6F, relaxed, DFT PBE+U; values from VASP
! uncorrected energy = -3.505 eV per atom
! SG = I4/mmm
&SYSTEM
  ibrav = 0, nat = 10, ntyp = 4
/
ATOMIC_SPECIES
Cl 35.45 Cl.upf
F 19.00 F.upf
Rb 85.47 Rb.upf
W 183.84 W.upf
ATOMIC_POSITIONS angstrom
Cl 1.298 -1.055 -6.108
Cl 7.202 -3.789 -7.817
Cl 3.573 -3.019 -3.720
Cl 5.658 -1.208 -6.387
Cl 1.599 -0.341 -1.805
Cl 5.959 -0.495 -2.084
F 3.628 -0.775 -4.096
Rb 3.304 -3.654 -7.567
Rb 7.471 -3.154 -3.971
W 0.000 0.000 0.000
CELL_PARAMETERS angstrom
-0.538 -1.275 -7.692
7.795 -0.275 -0.500
3.519 -5.258 -3.345

---

The lowest uncorrected energy belongs to which entry? Rb2WCl2F4

---

Repeat the second record exactly.
! Rb2WCl4F2, relaxed, DFT PBE+U; values from VASP
! uncorrected energy = -4.225 eV per atom
! SG = C2/m
&SYSTEM
  ibrav = 0, nat = 9, ntyp = 4
/
ATOMIC_SPECIES
Cl 35.45 Cl.upf
W 183.84 W.upf
F 19.00 F.upf
Rb 85.47 Rb.upf
ATOMIC_POSITIONS angstrom
Cl 2.846 4.853 1.021
Cl 5.559 4.471 5.323
Cl 5.559 6.593 2.205
Cl 2.846 2.732 4.139
W 2.927 -0.012 -0.008
F 6.680 8.023 5.458
F 1.725 1.302 0.886
Rb 5.623 3.053 2.077
Rb 2.783 6.271 4.267
CELL_PARAMETERS angstrom
5.854 -0.024 -0.017
1.276 6.721 0.173
1.276 2.628 6.188

---

Copy entry 3 word for word.
! Rb3WCl2F6, relaxed, DFT PBE+U; values from VASP
! uncorrected energy = -4.591 eV per atom
! SG = C2/m
&SYSTEM
  ibrav = 0, nat = 12, ntyp = 4
/
ATOMIC_SPECIES
Rb 85.47 Rb.upf
Cl 35.45 Cl.upf
F 19.00 F.upf
W 183.84 W.upf
ATOMIC_POSITIONS angstrom
Rb 2.260 3.226 4.021
Rb -0.565 -1.629 3.652
Rb 2.825 4.855 0.370
Cl 2.710 6.361 3.256
Cl 1.810 0.092 4.786
F 3.557 5.117 7.298
F 0.963 1.336 0.745
F -1.132 0.505 7.401
F 5.653 5.948 0.642
F 4.923 3.844 5.360
F -0.403 2.609 2.682
W -0.771 2.096 0.816
CELL_PARAMETERS angstrom
-1.543 4.191 1.631
-1.129 -3.258 7.303
7.192 5.519 -0.892